Record 1
! Sr2CaAlSi2, optimized geometry, DFT PBE; values from VASP
! Total energy (eV per atom): -3.672
! Magnetic moment (μB/f.u.): 0.001
! Symmetry: Ibam (72)
&SYSTEM
  ibrav = 0, nat = 12, ntyp = 4
/
ATOMIC_SPECIES
Si 28.09 Si.upf
Al 26.98 Al.upf
Ca 40.08 Ca.upf
Sr 87.62 Sr.upf
CELL_PARAMETERS angstrom
-7.1055 0.5916 2.1073
1.4821 -2.9145 5.8156
4.1491 7.3646 -1.1935
ATOMIC_POSITIONS angstrom
Si 3.3265 3.4598 4.7131
Al -2.4412 -1.8901 5.4153
Ca 0.3705 -0.7286 1.4539
Sr 2.1172 3.8583 1.3941
Ca 1.1115 -2.1859 4.3617
Si -0.4114 5.1666 2.6942
Sr 0.3329 2.6113 5.0508
Si -4.8008 1.5819 2.0163
Al -3.1822 -0.4328 2.5075
Sr -3.5915 1.1834 5.3353
Si -1.0629 -0.1249 4.0352
Sr -1.8072 2.4304 1.6786

---

Record 2
! Mg2CuMo, optimized geometry, DFT PBE; values from VASP
! Excess energy over the best structure of this formula in the dataset (meV per atom): 109
! Total energy (eV per atom): -4.263
! Magnetic moment (μB/f.u.): 0.000
! E_form (meV per atom): 266
! Symmetry: Cmmm (65)
&SYSTEM
  ibrav = 0, nat = 4, ntyp = 3
/
ATOMIC_SPECIES
Mo 95.94 Mo.upf
Mg 24.30 Mg.upf
Cu 63.55 Cu.upf
CELL_PARAMETERS angstrom
-4.8219 1.5682 1.0668
0.1932 -4.9756 -1.4334
0.3295 -0.7222 2.5512
ATOMIC_POSITIONS angstrom
Mo -2.2462 0.4230 1.8090
Mg 0.0000 0.0000 0.0000
Cu 0.2614 -2.8489 0.5589
Mg -2.3144 -1.7037 -0.1833

---

Record 3
! LiNd2DySe4, optimized geometry, DFT PBE; values from VASP
! Total energy (eV per atom): -5.507
! Magnetic moment (μB/f.u.): 0.000
! Symmetry: P2/m (10)
&SYSTEM
  ibrav = 0, nat = 8, ntyp = 4
/
ATOMIC_SPECIES
Se 78.96 Se.upf
Li 6.94 Li.upf
Nd 144.24 Nd.upf
Dy 162.50 Dy.upf
CELL_PARAMETERS angstrom
-0.6594 0.0768 4.0777
-3.0760 -6.4726 -0.3755
4.9782 -5.0385 0.8998
ATOMIC_POSITIONS angstrom
Se 1.5219 -8.5659 0.4074
Se -0.2791 -2.8684 4.1946
Li -1.8677 -3.1979 1.8511
Nd 4.9782 -5.0385 0.8998
Se -1.3389 -5.9687 1.9888
Dy 0.9511 -5.7555 0.2622
Nd 2.1594 -2.4809 2.4888
Se 2.5817 -5.4656 2.6132

---

Record 4
! La2Tb5Nd4, optimized geometry, DFT PBE; values from VASP
! Excess energy over the best structure of this formula in the dataset (meV per atom): 0
! Total energy (eV per atom): -4.636
! Magnetic moment (μB/f.u.): 0.000
! E_form (meV per atom): 98
! Symmetry: C2/m (12)
&SYSTEM
  ibrav = 0, nat = 11, ntyp = 3
/
ATOMIC_SPECIES
Nd 144.24 Nd.upf
Tb 158.93 Tb.upf
La 138.91 La.upf
CELL_PARAMETERS angstrom
0.0742 -5.8431 -0.6047
3.2828 -0.5360 5.5819
-8.2759 2.2446 5.8318
ATOMIC_POSITIONS angstrom
Nd 1.9032 -0.4352 4.4392
Tb -1.5172 -0.6111 5.7184
Tb -1.7747 -0.2457 2.1564
Tb 0.0371 -2.9216 -0.3024
La -4.8497 -0.8369 7.4907
Nd -0.1608 -3.6824 7.0245
Nd -4.7581 -0.4521 3.7846
Tb -3.4016 -3.5234 5.0906
Nd -6.8220 -3.6993 6.3698
La -0.0692 -3.2976 3.3183
Tb -3.1442 -3.8887 8.6526

---

Computed values of N(E_F) (unit: states/eV per cell) for the preceding records, in sequence: 6.61; 0.97; 2.84; 20.44.